(1)
Entry from the Alexandria database: an optimized crystal structure of Sn2BiRh2 (GGA-PBE).

abc: 7.994 7.994 3.141
angles: 90.00 90.00 90.00
Fractional positions:
Sn 0.147 0.353 0.000
Sn 0.353 0.853 0.000
Sn 0.647 0.147 0.000
Sn 0.853 0.647 0.000
Bi 0.000 0.000 0.500
Bi 0.500 0.500 0.500
Rh 0.145 0.645 0.500
Rh 0.355 0.145 0.500
Rh 0.645 0.855 0.500
Rh 0.855 0.355 0.500

Output
E above lowest polymorph = 0.0 meV per atom
Total magnetic moment = 0.0 μB per formula unit
Space-group type = P4/mbm (127)
ΔH_f (0 K) = -0.253 eV/atom

(2)
Entry from the Alexandria database: an optimized crystal structure of Y3Ge3Ir2 (GGA-PBE).

abc: 8.148 14.253 5.700
angles: 90.00 90.00 90.00
Fractional positions:
Y 0.044 0.113 0.120
Y 0.044 0.387 0.120
Y 0.192 0.250 0.635
Y 0.308 0.750 0.135
Y 0.456 0.613 0.620
Y 0.456 0.887 0.620
Y 0.544 0.113 0.380
Y 0.544 0.387 0.380
Y 0.692 0.250 0.865
Y 0.808 0.750 0.365
Y 0.956 0.613 0.880
Y 0.956 0.887 0.880
Ge 0.163 0.750 0.611
Ge 0.199 0.038 0.627
Ge 0.199 0.462 0.627
Ge 0.301 0.538 0.127
Ge 0.301 0.962 0.127
Ge 0.337 0.250 0.111
Ge 0.663 0.750 0.889
Ge 0.699 0.038 0.873
Ge 0.699 0.462 0.873
Ge 0.801 0.538 0.373
Ge 0.801 0.962 0.373
Ge 0.837 0.250 0.389
Ir 0.080 0.598 0.383
Ir 0.080 0.902 0.383
Ir 0.420 0.098 0.883
Ir 0.420 0.402 0.883
Ir 0.580 0.598 0.117
Ir 0.580 0.902 0.117
Ir 0.920 0.098 0.617
Ir 0.920 0.402 0.617

Output
E above lowest polymorph = 42.2 meV per atom
Total magnetic moment = 0.0 μB per formula unit
Space-group type = Pnma (62)
ΔH_f (0 K) = -0.892 eV/atom

(3)
Entry from the Alexandria database: an optimized crystal structure of Pm3CoSeCl (GGA-PBE).

abc: 7.838 3.854 10.720
angles: 90.00 109.69 90.00
Fractional positions:
Pm 0.035 0.250 0.280
Pm 0.243 0.250 0.042
Pm 0.351 0.750 0.581
Pm 0.649 0.250 0.419
Pm 0.757 0.750 0.958
Pm 0.965 0.750 0.720
Co 0.053 0.250 0.541
Co 0.947 0.750 0.459
Se 0.341 0.750 0.280
Se 0.659 0.250 0.720
Cl 0.350 0.750 0.875
Cl 0.650 0.250 0.125

Output
Energy relative to the elements, uncorrected = -1.034 eV/atom
Total magnetic moment = 0.9 μB per formula unit
Space-group type = P2_1/m (11)

(4)
Entry from the Alexandria database: an optimized crystal structure of Nd2TaAl2Ru5 (GGA-PBE).

abc: 10.296 10.296 3.300
angles: 90.00 90.00 90.00
Fractional positions:
Nd 0.173 0.327 0.000
Nd 0.327 0.827 0.000
Nd 0.673 0.173 0.000
Nd 0.827 0.673 0.000
Ta 0.000 0.000 0.000
Ta 0.500 0.500 0.000
Al 0.126 0.626 0.000
Al 0.374 0.126 0.000
Al 0.626 0.874 0.000
Al 0.874 0.374 0.000
Ru 0.000 0.500 0.500
Ru 0.065 0.801 0.500
Ru 0.199 0.065 0.500
Ru 0.301 0.565 0.500
Ru 0.435 0.301 0.500
Ru 0.500 0.000 0.500
Ru 0.565 0.699 0.500
Ru 0.699 0.435 0.500
Ru 0.801 0.935 0.500
Ru 0.935 0.199 0.500

Output
Total magnetic moment = 0.0 μB per formula unit
Space-group type = P4/mbm (127)
ΔH_f (0 K) = -0.368 eV/atom

(5)
Entry from the Alexandria database: an optimized crystal structure of Ac3Tb3DyTe8 (GGA-PBE).

abc: 9.158 9.158 9.158
angles: 58.51 58.51 58.51
Fractional positions:
Ac 0.000 0.500 0.500
Ac 0.500 0.000 0.500
Ac 0.500 0.500 0.000
Tb 0.000 0.000 0.500
Tb 0.000 0.500 0.000
Tb 0.500 0.000 0.000
Dy 0.500 0.500 0.500
Te 0.237 0.747 0.747
Te 0.242 0.242 0.242
Te 0.253 0.253 0.763
Te 0.253 0.763 0.253
Te 0.747 0.237 0.747
Te 0.747 0.747 0.237
Te 0.758 0.758 0.758
Te 0.763 0.253 0.253

Output
Energy relative to the elements, uncorrected = -1.436 eV/atom
Total magnetic moment = 0.0 μB per formula unit
Space-group type = R-3m (166)

(6)
Entry from the Alexandria database: an optimized crystal structure of KTlBiO4 (GGA-PBE).

abc: 7.143 7.143 7.143
angles: 120.23 120.18 89.65
Fractional positions:
K 0.370 0.120 0.250
K 0.630 0.880 0.750
Tl 0.000 0.500 0.500
Tl 0.500 0.500 0.000
Bi 0.000 0.000 0.500
Bi 0.000 0.500 0.000
O 0.188 0.738 0.450
O 0.212 0.262 0.950
O 0.222 0.263 0.542
O 0.222 0.680 0.958
O 0.778 0.320 0.042
O 0.778 0.737 0.458
O 0.788 0.738 0.050
O 0.812 0.262 0.550

Output
Energy relative to the elements, uncorrected = -1.020 eV/atom
Total magnetic moment = 0.0 μB per formula unit
Space-group type = Imma (74)

(7)
Entry from the Alexandria database: an optimized crystal structure of ZrSc2Cd (GGA-PBE).

abc: 7.149 7.149 7.149
angles: 90.00 90.00 90.00
Fractional positions:
Zr 0.000 0.000 0.000
Zr 0.000 0.500 0.500
Zr 0.500 0.000 0.500
Zr 0.500 0.500 0.000
Sc 0.250 0.250 0.250
Sc 0.250 0.250 0.750
Sc 0.250 0.750 0.250
Sc 0.250 0.750 0.750
Sc 0.750 0.250 0.250
Sc 0.750 0.250 0.750
Sc 0.750 0.750 0.250
Sc 0.750 0.750 0.750
Cd 0.000 0.000 0.500
Cd 0.000 0.500 0.000
Cd 0.500 0.000 0.000
Cd 0.500 0.500 0.500

Output
E above lowest polymorph = 184.8 meV per atom
Total magnetic moment = 2.5 μB per formula unit
Space-group type = Fm-3m (225)
ΔH_f (0 K) = 0.013 eV/atom

(8)
Entry from the Alexandria database: an optimized crystal structure of NiAgAu2 (GGA-PBE).

abc: 3.073 4.598 9.244
angles: 90.00 90.00 90.00
Fractional positions:
Ni 0.000 0.000 0.000
Ni 0.500 0.500 0.500
Ag 0.000 0.500 0.737
Ag 0.500 0.000 0.237
Au 0.000 0.000 0.505
Au 0.000 0.500 0.271
Au 0.500 0.000 0.771
Au 0.500 0.500 0.005

Output
E above lowest polymorph = 84.0 meV per atom
Total magnetic moment = 0.0 μB per formula unit
Space-group type = Imm2 (44)
ΔH_f (0 K) = 0.111 eV/atom